# 1
{
  "formula": "BaInAgAu2",
  "functional": "GGA-PBE",
  "state": "relaxed",
  "sg": "I-4m2",
  "total_energy_ev_per_atom": -3.288,
  "dos_ef_per_ev_cell": 2.4,
  "delta_e_f_ev_per_atom": -0.4747,
  "vol_a3_per_atom": 25.99,
  "cell": [[-0.652, -2.960, -3.338], [2.594, -2.996, 2.150], [-6.118, 0.696, 3.623]],
  "species": ["In", "Ag", "Au", "Au", "Ba"],
  "fractional_positions": [[0.750, 0.250, 0.500], [0.250, 0.750, 0.500], [0.610, 0.610, 0.220], [0.390, 0.390, 0.780], [0.000, 0.000, 0.000]]
}

=====

# 2
{
  "formula": "Ba2In4Ag3Au",
  "functional": "GGA-PBE",
  "state": "relaxed",
  "sg": "P-4m2",
  "total_energy_ev_per_atom": -3.009,
  "dos_ef_per_ev_cell": 7.6,
  "delta_e_f_ev_per_atom": -0.3462,
  "vol_a3_per_atom": 27.64,
  "cell": [[-1.697, 4.022, 2.188], [2.099, -1.390, 4.184], [9.662, 5.686, -2.958]],
  "species": ["Au", "In", "In", "In", "In", "Ag", "Ag", "Ag", "Ba", "Ba"],
  "fractional_positions": [[0.500, 0.500, 0.500], [0.500, 0.500, 0.000], [0.000, 0.000, 0.000], [0.000, 0.500, 0.379], [0.500, 0.000, 0.621], [0.000, 0.000, 0.500], [0.000, 0.500, 0.135], [0.500, 0.000, 0.865], [0.000, 0.500, 0.744], [0.500, 0.000, 0.256]]
}

=====

# 3
{
  "formula": "BaInAg2Au4",
  "functional": "GGA-PBE",
  "state": "relaxed",
  "sg": "R-3m",
  "total_energy_ev_per_atom": -3.184,
  "dos_ef_per_ev_cell": 1.5,
  "delta_e_f_ev_per_atom": -0.2503,
  "vol_a3_per_atom": 23.51,
  "cell": [[-1.282, 0.504, -4.548], [2.624, -1.964, -3.440], [-4.799, -8.529, -2.075]],
  "species": ["Ag", "Ag", "In", "Au", "Au", "Au", "Au", "Ba"],
  "fractional_positions": [[0.763, 0.763, 0.712], [0.237, 0.237, 0.288], [0.500, 0.500, 0.500], [0.874, 0.874, 0.378], [0.403, 0.403, 0.791], [0.126, 0.126, 0.622], [0.597, 0.597, 0.209], [0.000, 0.000, 0.000]]
}

=====

> Number 2 is which compound?

Ba2In4Ag3Au